Entry 1:
Computed, not measured: an optimized crystal structure of Ce4Tl2Sn at the PBE-GGA level of DFT.

Cell lengths 4.8021, 5.7209, 8.9879 Å; angles 82.18, 74.50, 65.18 degrees
Site moments in Bohr magnetons follow the coordinates.
Fractional coordinates of all 7 atoms:
Ce: 0.6321 0.6066 0.1292  0.97
Tl: 0.2671 0.2147 0.2510  -0.01
Tl: 0.7329 0.7853 0.7490  -0.01
Sn: 0.0000 0.0000 0.0000  -0.01
Ce: 0.9021 0.8218 0.3740  1.10
Ce: 0.3679 0.3934 0.8708  0.97
Ce: 0.0979 0.1782 0.6260  1.10

Computed properties:
**N(E_F)**: 26.07 states/eV per cell
**Mass density**: 8.368 g cm⁻³
**Relative energy among the computed polymorphs**: 0 meV per atom
**Energy of formation from the pure elements**: -0.1553 eV per atom



Entry 2:
Computed, not measured: an optimized crystal structure of CeTlSn2 at the PBE-GGA level of DFT.

Cell lengths 4.2049, 4.2049, 6.5453 Å; angles 90.00, 90.00, 90.00 degrees
Site moments in Bohr magnetons follow the coordinates.
Fractional coordinates of all 4 atoms:
Sn: 0.0000 0.0000 0.2659  0.01
Tl: 0.5000 0.5000 0.0000  0.01
Ce: 0.5000 0.5000 0.5000  0.71
Sn: 0.0000 0.0000 0.7341  0.01

Computed properties:
**N(E_F)**: 6.94 states/eV per cell
**Mass density**: 8.350 g cm⁻³
**Energy of formation from the pure elements**: -0.2536 eV per atom



Entry 3:
Computed, not measured: an optimized crystal structure of Ce7TlSn3 at the PBE-GGA level of DFT.

Cell lengths 6.0478, 8.1960, 8.1960 Å; angles 95.43, 111.68, 111.68 degrees
Site moments in Bohr magnetons follow the coordinates.
Fractional coordinates of all 11 atoms:
Sn: 0.5000 0.0000 0.0000  -0.02
Ce: 0.6463 0.3876 0.9051  0.72
Ce: 0.8488 0.8491 0.8491  0.80
Ce: 0.3537 0.0949 0.6124  0.72
Ce: 0.6463 0.9051 0.3876  0.72
Ce: 0.1512 0.1509 0.1509  0.80
Tl: 0.5000 0.5000 0.5000  -0.01
Sn: 0.0000 0.7607 0.2393  -0.02
Sn: 0.0000 0.2393 0.7607  -0.02
Ce: 0.0000 0.5000 0.5000  0.84
Ce: 0.3537 0.6124 0.0949  0.72

Computed properties:
**N(E_F)**: 33.02 states/eV per cell
**Mass density**: 7.571 g cm⁻³
**Energy of formation from the pure elements**: -0.3094 eV per atom



Entry 4:
Computed, not measured: an optimized crystal structure of Ce3Tl2Sn at the PBE-GGA level of DFT.

Cell lengths 4.1661, 4.1661, 9.8883 Å; angles 90.00, 90.00, 90.00 degrees
Site moments in Bohr magnetons follow the coordinates.
Fractional coordinates of all 6 atoms:
Sn: 0.5000 0.5000 0.5000  -0.03
Ce: 0.0000 0.0000 0.0000  1.03
Ce: 0.0000 0.0000 0.3492  0.94
Tl: 0.5000 0.5000 0.8282  0.02
Tl: 0.5000 0.5000 0.1718  0.02
Ce: 0.0000 0.0000 0.6508  0.94

Computed properties:
**N(E_F)**: 17.20 states/eV per cell
**Mass density**: 9.170 g cm⁻³
**Relative energy among the computed polymorphs**: 0 meV per atom
**Energy of formation from the pure elements**: -0.3567 eV per atom



Entry 5:
Computed, not measured: an optimized crystal structure of Ce2Tl2Sn at the PBE-GGA level of DFT.

Cell lengths 4.0871, 4.5486, 8.0156 Å; angles 73.51, 94.30, 90.00 degrees
Site moments in Bohr magnetons follow the coordinates.
Fractional coordinates of all 5 atoms:
Sn: 0.0000 0.5000 0.0000  -0.03
Tl: 0.8375 0.7041 0.5918  0.00
Ce: 0.4776 0.0898 0.8207  0.85
Tl: 0.1625 0.2959 0.4082  0.00
Ce: 0.5224 0.9102 0.1793  0.85

Computed properties:
**N(E_F)**: 9.05 states/eV per cell
**Mass density**: 9.415 g cm⁻³
**Relative energy among the computed polymorphs**: 0 meV per atom
**Energy of formation from the pure elements**: -0.3036 eV per atom



Entry 6:
Computed, not measured: an optimized crystal structure of Ce9TlSn2 at the PBE-GGA level of DFT.

Cell lengths 4.7962, 4.7962, 14.3696 Å; angles 90.00, 90.00, 90.00 degrees
Site moments in Bohr magnetons follow the coordinates.
Fractional coordinates of all 12 atoms:
Ce: 0.5000 0.0000 0.5000  0.72
Ce: 0.5000 0.5000 0.6668  0.71
Tl: 0.0000 0.0000 0.0000  -0.01
Sn: 0.0000 0.0000 0.3342  -0.02
Ce: 0.5000 0.5000 0.0000  0.80
Ce: 0.0000 0.5000 0.8303  0.75
Ce: 0.5000 0.5000 0.3332  0.71
Ce: 0.0000 0.5000 0.1697  0.75
Ce: 0.0000 0.5000 0.5000  0.72
Sn: 0.0000 0.0000 0.6658  -0.02
Ce: 0.5000 0.0000 0.8303  0.75
Ce: 0.5000 0.0000 0.1697  0.75

Computed properties:
**N(E_F)**: 36.28 states/eV per cell
**Mass density**: 8.554 g cm⁻³
**Energy of formation from the pure elements**: -0.3135 eV per atom



What did the fourth record say?
Computed, not measured: an optimized crystal structure of Ce3Tl2Sn at the PBE-GGA level of DFT.

Cell lengths 4.1661, 4.1661, 9.8883 Å; angles 90.00, 90.00, 90.00 degrees
Site moments in Bohr magnetons follow the coordinates.
Fractional coordinates of all 6 atoms:
Sn: 0.5000 0.5000 0.5000  -0.03
Ce: 0.0000 0.0000 0.0000  1.03
Ce: 0.0000 0.0000 0.3492  0.94
Tl: 0.5000 0.5000 0.8282  0.02
Tl: 0.5000 0.5000 0.1718  0.02
Ce: 0.0000 0.0000 0.6508  0.94

Computed properties:
**N(E_F)**: 17.20 states/eV per cell
**Mass density**: 9.170 g cm⁻³
**Relative energy among the computed polymorphs**: 0 meV per atom
**Energy of formation from the pure elements**: -0.3567 eV per atom